Compound: U2AlW
Source: Alexandria via LeMat-Bulk
Functional: GGA-PBE
Structure: optimized geometry

Summary:
Calculated total energy ... -37.289 eV/f.u.
V ... 80 Å³ per cell
Space group ... R-3m, No. 166
Energy of formation ... 0.496 eV per atom

```
4
Lattice="-1.071 2.418 0.992 -1.493 0.005 2.398 8.806 2.622 7.141" Properties=species:S:1:pos:R:3 pbc="T T T"
W 3.121 2.522 5.266
U 6.274 2.147 5.566
U -0.032 2.898 4.965
Al 0.000 0.000 0.000
```

***

Compound: PrYCo2
Source: Alexandria via LeMat-Bulk
Functional: GGA-PBE
Structure: optimized geometry

Summary:
Calculated total energy ... -25.864 eV/f.u.
V ... 173 Å³ per cell
Space group ... Pmc2_1, No. 26
Energy of formation ... -0.102 eV per atom

```
8
Lattice="-0.595 3.269 -2.083 -2.405 -3.081 -4.147 -6.912 0.880 3.355" Properties=species:S:1:pos:R:3 pbc="T T T"
Pr -3.302 -2.515 -3.003
Pr -4.994 0.185 1.715
Co -5.570 -0.490 -2.870
Co -7.460 1.956 1.508
Co -5.205 -1.519 -0.898
Co -1.055 -1.070 -1.379
Y -3.392 0.781 -1.498
Y -7.481 0.410 -0.912
```

***

Compound: Zr2InP
Source: Alexandria via LeMat-Bulk
Functional: GGA-PBE
Structure: optimized geometry

Summary:
Calculated total energy ... -26.815 eV/f.u.
V ... 80 Å³ per cell
Space group ... Cmmm, No. 65
Energy of formation ... -0.393 eV per atom

```
4
Lattice="3.013 -3.780 0.000 3.013 3.780 0.000 0.000 0.000 3.515" Properties=species:S:1:pos:R:3 pbc="T T T"
In 0.000 0.000 1.758
Zr 1.506 -1.890 0.000
Zr 1.506 1.890 0.000
P 3.013 0.000 1.758
```

***

Compound: NbSnPO2
Source: Alexandria via LeMat-Bulk
Functional: GGA-PBE
Structure: optimized geometry

Summary:
Calculated total energy ... -35.757 eV/f.u.
Uncorrected formation energy ... -123 kJ per mole of atoms
V ... 84 Å³ per cell
Space group ... P4/mmm, No. 123

```
5
Lattice="4.005 0.000 0.000 0.000 4.005 0.000 0.000 0.000 5.218" Properties=species:S:1:pos:R:3 pbc="T T T"
O 0.000 2.002 0.000
O 2.002 0.000 0.000
Nb 0.000 0.000 0.000
P 0.000 0.000 2.609
Sn 2.002 2.002 2.609
```

***

Compound: CdAgSnCl6
Source: Alexandria via LeMat-Bulk
Functional: GGA-PBE
Structure: optimized geometry

Summary:
Calculated total energy ... -26.188 eV/f.u.
Uncorrected formation energy ... -79 kJ per mole of atoms
V ... 235 Å³ per cell
Space group ... P312, No. 149

```
9
Lattice="-4.784 -3.252 1.867 3.815 -5.478 0.233 -0.559 3.913 5.385" Properties=species:S:1:pos:R:3 pbc="T T T"
Cl -1.411 -3.460 5.154
Cl 0.776 -0.568 5.993
Cl -0.132 -1.325 2.349
Cl -3.750 -1.142 3.197
Cl -1.568 1.778 4.075
Cl -2.871 -0.345 6.839
Sn 0.899 0.782 3.668
Ag -0.035 -3.974 2.884
Cd -2.392 -1.626 0.933
```

***

Compound: Pr8Sm6Sn
Source: Alexandria via LeMat-Bulk
Functional: GGA-PBE
Structure: optimized geometry

Summary:
Calculated total energy ... -70.195 eV/f.u.
V ... 521 Å³ per cell
Space group ... P-3, No. 147
Energy of formation ... 0.024 eV per atom

```
15
Lattice="-0.059 6.746 -0.042 -8.099 -0.040 4.851 8.250 0.100 4.588" Properties=species:S:1:pos:R:3 pbc="T T T"
Sm -4.538 4.446 3.566
Sm 4.631 2.359 5.832
Sm 0.843 2.325 5.679
Sm -2.776 4.482 6.923
Sm -0.750 4.480 3.719
Sm 2.869 2.323 2.475
Pr 0.404 5.585 7.043
Pr 2.749 5.944 4.639
Pr 6.007 5.624 5.475
Pr -2.657 0.861 4.758
Pr 1.847 5.563 1.407
Pr -0.311 1.220 2.354
Pr -5.914 1.181 3.923
Pr -1.754 1.243 7.991
Sn -0.029 3.373 -0.021
```

***

What is the formula in the third record? Zr2InP

***

Number 3 is which compound? Zr2InP